! GGA+U CrPbO2F, optimized geometry; values from VASP
! final energy = -31.62 eV per formula unit
&SYSTEM
  ibrav = 0, nat = 5, ntyp = 4
/
ATOMIC_SPECIES
Pb 207.20 Pb.upf
Cr 52.00 Cr.upf
O 16.00 O.upf
F 19.00 F.upf
CELL_PARAMETERS angstrom
-2.6113 3.0588 0.2132
-1.0960 -0.6696 -3.8172
-2.8099 -2.4855 1.2428
ATOMIC_POSITIONS angstrom
Pb -3.2586 -0.0482 -1.1806
Cr 0.0000 0.0000 0.0000
O -0.5480 -0.3348 -1.9086
O -1.3057 1.5294 0.1066
F -1.4050 -1.2427 0.6214